Computed, not measured: Rb2YGe2O6 after structural relaxation at the GGA-PBE level of DFT.

Lattice parameters (Å, degrees): 10.590 6.112 7.043 90.00 120.17 90.00
Space group C2/m (No. 12)
Asymmetric unit:
Rb1 0.215 0.000 0.152
Y1 0.000 0.000 0.500
Ge1 0.070 0.500 0.219
O1 0.005 0.258 0.271
O2 0.247 0.000 0.713

Results
The formation energy from raw total energies comes out at -2016.3 meV per atom. The raw total energy is -139.125 eV for the cell shown. For the density of states at the Fermi level, the calculation gives 0.1177 states/eV/atom.

Computed, not measured: RbYGeO4 after structural relaxation at the GGA-PBE level of DFT.

Lattice parameters (Å, degrees): 5.782 5.935 7.736 90.00 107.95 90.00
Space group P2_1/m (No. 11)
Asymmetric unit:
Rb1 0.190 0.250 0.432
Y1 0.298 0.250 0.962
Ge1 0.242 0.750 0.156
O1 0.032 0.750 0.935
O2 0.051 0.750 0.295
O3 0.456 0.524 0.173

Results
The formation energy from raw total energies comes out at -2366.5 meV per atom. The raw total energy is -96.895 eV for the cell shown. For the density of states at the Fermi level, the calculation gives 0.0000 states/eV/atom.

Computed, not measured: Rb3YGe2O8 after structural relaxation at the GGA-PBE level of DFT.

Lattice parameters (Å, degrees): 6.0914 6.0914 8.0824 90.00 90.00 120.00
Space group P-3m1 (No. 164)
Asymmetric unit:
Rb1 0.0000 0.0000 0.0000
Rb2 0.3333 0.6667 0.7045
Y1 0.0000 0.0000 0.5000
Ge1 0.3333 0.6667 0.2660
O1 0.1742 0.3484 0.3359
O2 0.3333 0.6667 0.0465

Results
The formation energy from raw total energies comes out at -1839.9 meV per atom. The raw total energy is -84.026 eV for the cell shown. For the density of states at the Fermi level, the calculation gives 0.6522 states/eV/atom.

Computed, not measured: Rb2ZnGeO4 after structural relaxation at the GGA-PBE level of DFT.

Lattice parameters (Å, degrees): 5.218 12.192 20.679 90.00 90.00 90.00
Space group Fddd (No. 70, origin choice 2)
Asymmetric unit:
Rb1 0.125 0.125 0.300
Zn1 0.125 0.125 0.125
Ge1 0.125 0.125 0.625
O1 0.097 0.291 0.831

Results
The formation energy from raw total energies comes out at -1560.5 meV per atom. The raw total energy is -321.147 eV for the cell shown. For the density of states at the Fermi level, the calculation gives 0.0000 states/eV/atom.